DFT (SCAN) results for a PBEsol-optimized structure of MgCrIn2.

Calculated values
Magnetization in μB/atom: 0.904
Space-group type: No. 139
Formation energy from the elements in eV/f.u.: -0.2

Unit cell a=4.3215 b=4.3215 c=5.1394 alpha=114.86 beta=114.86 gamma=90.00
Closest atoms and distances in Å follow each position.
Fractional positions:
In 0.2500 0.7500 0.5000  4 Cr 2.99, 4 Mg 2.99, 4 In 3.06
In 0.7500 0.2500 0.5000  4 Mg 2.99, 4 Cr 2.99, 4 In 3.06
Cr 0.0000 0.0000 0.0000  8 In 2.99, 4 Mg 3.06
Mg 0.5000 0.5000 0.0000  8 In 2.99, 4 Cr 3.06

---

DFT (SCAN) results for a PBEsol-optimized structure of Na2SbPdW.

Calculated values
Magnetization in μB/atom: 0.592
Energy relative to the elements, uncorrected in eV/atom: 1.2755
Space-group type: No. 123

Unit cell a=5.1042 b=5.3831 c=5.3831 alpha=90.00 beta=90.00 gamma=90.00
Closest atoms and distances in Å follow each position.
Fractional positions:
Sb 0.0000 0.0000 0.0000  2 W 2.55, 4 Na 2.69
Na 0.0000 0.5000 0.0000  2 Sb 2.69
Na 0.0000 0.0000 0.5000  2 Sb 2.69
Pd 0.5000 0.5000 0.5000  8 Na 3.71, 4 W 3.81
W 0.5000 0.0000 0.0000  2 Sb 2.55

---

DFT (SCAN) results for a PBEsol-optimized structure of Ba2HfReSb.

Calculated values
Magnetization in μB/atom: 0.689
Energy relative to the elements, uncorrected in eV/atom: 1.5014
Space-group type: No. 123

Unit cell a=5.3170 b=6.0650 c=6.0650 alpha=90.00 beta=90.00 gamma=90.00
Closest atoms and distances in Å follow each position.
Fractional positions:
Ba 0.0000 0.5000 0.0000  2 Hf 3.03
Ba 0.0000 0.0000 0.5000  2 Hf 3.03
Re 0.5000 0.5000 0.5000  8 Ba 4.03, 4 Sb 4.29
Sb 0.5000 0.0000 0.0000  2 Hf 2.66
Hf 0.0000 0.0000 0.0000  2 Sb 2.66

---

DFT (SCAN) results for a PBEsol-optimized structure of CrRe3Mo.

Calculated values
Magnetization in μB/atom: 0.455
Space-group type: No. 221
Formation energy from the elements in eV/f.u.: 10.9

Unit cell a=4.6044 b=4.6044 c=4.6044 alpha=90.00 beta=90.00 gamma=90.00
Closest atoms and distances in Å follow each position.
Fractional positions:
Re 0.0000 0.0000 0.5000  2 Mo 2.30
Re 0.0000 0.5000 0.0000  2 Mo 2.30
Re 0.5000 0.0000 0.0000  2 Mo 2.30
Mo 0.0000 0.0000 0.0000  6 Re 2.30
Cr 0.5000 0.5000 0.5000  12 Re 3.26